1.
YPuSc4 | GGA-PBE | optimized geometry

ρ ... 5.43 g/cm3
Relative energy among the computed polymorphs ... 25 kJ/mol of formula units
DOS at the Fermi energy ... 26.742 states/eV/cell
ΔE_f ... 0.13 eV per atom
Volume ... 313.5 Å³ per cell
Uncorrected energy ... -7.552 eV/atom

a = 8.432 Å, b = 5.899 Å, c = 9.048 Å
α = 119.97°, β = 125.97°, γ = 68.13°
Element x y z (fractional)
Y  0.415  0.165  0.830
Y  0.585  0.835  0.170
Pu  0.997  0.747  0.994
Pu  0.003  0.253  0.006
Sc  0.420  0.467  0.264
Sc  0.714  0.868  0.616
Sc  0.157  0.704  0.736
Sc  0.098  0.752  0.384
Sc  0.580  0.533  0.736
Sc  0.843  0.296  0.264
Sc  0.286  0.132  0.384
Sc  0.902  0.248  0.616

---

2.
YPuSc | GGA-PBE | optimized geometry

ρ ... 7.55 g/cm3
Relative energy among the computed polymorphs ... 0 kJ/mol of formula units
DOS at the Fermi energy ... 7.123 states/eV/cell
ΔE_f ... 0.12 eV per atom
Volume ... 83.1 Å³ per cell
Uncorrected energy ... -8.920 eV/atom

a = 3.433 Å, b = 3.433 Å, c = 7.459 Å
α = 103.30°, β = 103.30°, γ = 90.00°
Element x y z (fractional)
Y  0.281  0.281  0.562
Sc  0.612  0.612  0.223
Pu  0.957  0.957  0.915

---

3.
Y14PuSc | GGA-PBE | optimized geometry

ρ ... 5.07 g/cm3
DOS at the Fermi energy ... 29.241 states/eV/cell
ΔE_f ... 0.05 eV per atom
Volume ... 502.1 Å³ per cell
Uncorrected energy ... -6.897 eV/atom

a = 7.095 Å, b = 7.095 Å, c = 9.975 Å
α = 90.00°, β = 90.00°, γ = 89.99°
Element x y z (fractional)
Y  0.375  0.625  0.500
Y  0.875  0.125  0.500
Y  0.875  0.625  0.000
Y  0.875  0.625  0.500
Y  0.375  0.125  0.000
Y  0.375  0.125  0.500
Y  0.625  0.875  0.756
Y  0.625  0.875  0.244
Y  0.125  0.375  0.756
Y  0.125  0.375  0.244
Y  0.125  0.875  0.756
Y  0.125  0.875  0.244
Y  0.625  0.375  0.756
Y  0.625  0.375  0.244
Pu  0.375  0.625  0.000
Sc  0.875  0.125  0.000

---

4.
YPuSc | GGA-PBE | optimized geometry

ρ ... 7.53 g/cm3
Relative energy among the computed polymorphs ... 5 kJ/mol of formula units
DOS at the Fermi energy ... 9.411 states/eV/cell
ΔE_f ... 0.14 eV per atom
Volume ... 83.3 Å³ per cell
Uncorrected energy ... -8.902 eV/atom

a = 3.403 Å, b = 3.403 Å, c = 8.305 Å
α = 90.00°, β = 90.00°, γ = 120.00°
Element x y z (fractional)
Y  0.000  0.000  0.995
Sc  0.333  0.667  0.663
Pu  0.667  0.333  0.342